LiV3Zn2O8 after structural relaxation. Source: Alexandria, functional PBE with a Hubbard U. Values from VASP.

Computed properties:
Its excess energy over the best structure of this formula in the dataset is 4.3 meV per atom. The calculation puts the total energy at -6.65 eV per atom.

```
&SYSTEM
  ibrav = 0, nat = 28, ntyp = 4
/
ATOMIC_SPECIES
Li 6.94 Li.upf
V 50.94 V.upf
Zn 65.41 Zn.upf
O 16.00 O.upf
CELL_PARAMETERS angstrom
5.969 0.000 0.000
0.040 6.005 0.000
0.053 0.028 8.429
ATOMIC_POSITIONS angstrom
Li 0.000 0.000 0.000
Li 2.980 3.038 4.164
V 1.479 1.546 6.304
V 1.527 4.559 6.303
V 2.944 0.012 0.017
V 4.445 1.506 2.077
V 4.474 4.510 2.048
V 5.998 3.012 4.189
Zn 1.429 6.003 3.172
Zn 1.533 3.001 0.970
Zn 4.420 3.033 7.375
Zn 4.547 6.005 5.187
O 0.066 3.114 6.191
O 0.233 5.977 6.284
O 1.340 1.673 4.253
O 1.399 4.406 4.320
O 1.592 1.416 8.269
O 1.638 4.637 8.253
O 2.786 3.090 6.257
O 2.929 5.984 6.341
O 3.102 0.011 2.126
O 3.179 3.020 2.089
O 4.405 1.436 0.175
O 4.438 4.575 0.177
O 4.552 1.614 4.006
O 4.607 4.372 4.008
O 5.767 6.002 2.078
O 5.848 2.999 2.147
```